The following is a DFT calculation (GGA-PBE) of crystalline TaCr3Sb at its relaxed geometry.

abc: 4.762 4.762 4.762
angles: 90.00 90.00 90.00
Space group Pm-3m (No. 221)
One atom of each set of equivalent atoms:
Ta 0.000 0.000 0.000
Cr 0.000 0.000 0.500
Sb 0.500 0.500 0.500

total magnetization: 8.420 μB/cell
formation energy from raw total energies: 1.4216 eV per atom

The following is a DFT calculation (GGA-PBE) of crystalline LiPm2H at its relaxed geometry.

abc: 3.5497 3.5497 27.8867
angles: 90.00 90.00 120.00
Space group R-3m (No. 166, hexagonal axes)
One atom of each set of equivalent atoms:
Li 0.0000 0.0000 0.0000
Pm 0.0000 0.0000 0.1161
H 0.0000 0.0000 0.5000

total magnetization: 0.000 μB/cell
uncorrected energy: -3.70 eV per atom

The following is a DFT calculation (GGA-PBE) of crystalline AcGa4Ge at its relaxed geometry.

abc: 4.926 4.926 6.070
angles: 90.00 90.00 90.00
Space group P4/mmm (No. 123)
One atom of each set of equivalent atoms:
Ac 0.000 0.000 0.000
Ga 0.000 0.500 0.500
Ga 0.500 0.500 0.222
Ge 0.000 0.000 0.500

total magnetization: 0.000 μB/cell
formation energy from the elements: -0.102 eV per atom

The following is a DFT calculation (GGA-PBE) of crystalline NaReNi at its relaxed geometry.

abc: 5.992 13.515 2.627
angles: 90.00 105.63 90.00
Space group C2/m (No. 12)
One atom of each set of equivalent atoms:
Na 0.000 0.203 0.000
Re 0.202 0.000 0.808
Ni 0.000 0.405 0.500

total magnetization: 0.000 μB/cell
formation energy from the elements: 0.312 eV per atom

The following is a DFT calculation (GGA-PBE) of crystalline LiPrGd at its relaxed geometry.

abc: 3.5700 3.5700 8.4427
angles: 90.00 90.00 120.00
Space group P3m1 (No. 156)
One atom of each set of equivalent atoms:
Li 0.0000 0.0000 0.0000
Pr 0.3333 0.6667 0.6668
Gd 0.6667 0.3333 0.3239

total magnetization: 7.599 μB/cell
formation energy from the elements: 0.099 eV per atom

The following is a DFT calculation (GGA-PBE) of crystalline CsNa2UF8 at its relaxed geometry.

abc: 4.308 6.402 8.796
angles: 89.53 78.64 70.45
Space group P-1 (No. 2)
One atom of each set of equivalent atoms:
Cs 0.000 0.000 0.000
Na 0.316 0.497 0.842
U 0.000 0.000 0.500
F 0.202 0.768 0.655
F 0.265 0.206 0.534
F 0.290 0.358 0.077
F 0.309 0.832 0.287

total magnetization: 1.000 μB/cell
formation energy from raw total energies: -3.1125 eV per atom

The following is a DFT calculation (GGA-PBE) of crystalline LiAs2IrO8 at its relaxed geometry.

abc: 6.672 6.672 6.176
angles: 90.00 90.00 90.00
Space group I-4m2 (No. 119)
One atom of each set of equivalent atoms:
Li 0.000 0.000 0.000
As 0.000 0.000 0.500
As 0.000 0.500 0.750
Ir 0.000 0.500 0.250
O 0.000 0.195 0.312
O 0.000 0.313 0.945

total magnetization: 0.000 μB/cell
formation energy from raw total energies: -0.7571 eV per atom

The following is a DFT calculation (GGA-PBE) of crystalline La5Pm3Sm4 at its relaxed geometry.

abc: 6.383 7.344 9.040
angles: 90.16 90.13 90.07
Space group P-1 (No. 2)
One atom of each set of equivalent atoms:
La 0.000 0.000 0.000
La 0.332 0.500 0.335
La 0.500 0.249 0.000
Pm 0.000 0.500 0.000
Pm 0.167 0.248 0.665
Sm 0.167 0.752 0.665
Sm 0.335 0.000 0.336

total magnetization: 0.000 μB/cell
formation energy from the elements: 0.018 eV per atom

The following is a DFT calculation (GGA-PBE) of crystalline Pm6Dy5In at its relaxed geometry.

abc: 5.020 10.015 15.243
angles: 90.00 90.00 90.00
Space group Immm (No. 71)
One atom of each set of equivalent atoms:
Pm 0.000 0.245 0.000
Pm 0.000 0.254 0.335
Dy 0.000 0.000 0.167
Dy 0.000 0.000 0.500
Dy 0.000 0.500 0.164
In 0.000 0.500 0.500

total magnetization: 0.000 μB/cell
formation energy from the elements: -0.059 eV per atom

The following is a DFT calculation (GGA-PBE) of crystalline Cr2CoGeC at its relaxed geometry.

abc: 3.863 3.863 3.766
angles: 90.00 90.00 90.00
Space group P4/mmm (No. 123)
One atom of each set of equivalent atoms:
Cr 0.000 0.500 0.000
Co 0.000 0.000 0.500
Ge 0.500 0.500 0.500
C 0.000 0.000 0.000

total magnetization: 2.043 μB/cell
formation energy from the elements: 0.014 eV per atom

The following is a DFT calculation (GGA-PBE) of crystalline PmBiPt5 at its relaxed geometry.

abc: 8.944 5.560 11.087
angles: 90.00 90.00 90.00
Space group Pnma (No. 62)
One atom of each set of equivalent atoms:
Pm 0.240 0.250 0.050
Bi 0.136 0.250 0.353
Pt 0.080 0.503 0.812
Pt 0.088 0.250 0.593
Pt 0.092 0.750 0.025
Pt 0.166 0.750 0.268

total magnetization: 0.000 μB/cell
formation energy from the elements: -0.532 eV per atom

The following is a DFT calculation (GGA-PBE) of crystalline La2Al4SnAu3 at its relaxed geometry.

abc: 4.463 4.463 10.881
angles: 90.00 90.00 90.00
Space group P-4m2 (No. 115)
One atom of each set of equivalent atoms:
La 0.000 0.500 0.244
Al 0.000 0.000 0.000
Al 0.000 0.500 0.647
Al 0.500 0.500 0.000
Sn 0.000 0.000 0.500
Au 0.000 0.500 0.876
Au 0.500 0.500 0.500

total magnetization: 0.000 μB/cell
formation energy from the elements: -0.707 eV per atom

The following is a DFT calculation (GGA-PBE) of crystalline CsScAgS2 at its relaxed geometry.

abc: 7.889 5.197 7.194
angles: 90.00 99.83 90.00
Space group P2/c (No. 13)
One atom of each set of equivalent atoms:
Cs 0.000 0.153 0.250
Sc 0.500 0.496 0.750
Ag 0.500 0.000 0.000
S 0.287 0.376 0.961

total magnetization: 0.000 μB/cell
formation energy from raw total energies: -1.0768 eV per atom

The following is a DFT calculation (GGA-PBE) of crystalline HfSiPCl2 at its relaxed geometry.

abc: 4.860 4.860 5.218
angles: 90.00 90.00 90.00
Space group P4/mmm (No. 123)
One atom of each set of equivalent atoms:
Hf 0.000 0.000 0.000
Si 0.500 0.500 0.500
P 0.000 0.000 0.500
Cl 0.000 0.500 0.000

total magnetization: 0.845 μB/cell
formation energy from raw total energies: -0.1469 eV per atom

The following is a DFT calculation (GGA-PBE) of crystalline Ni3Os5 at its relaxed geometry.

abc: 7.454 7.537 3.755
angles: 90.00 90.00 90.00
Space group Cmmm (No. 65)
One atom of each set of equivalent atoms:
Ni 0.000 0.000 0.000
Ni 0.000 0.256 0.500
Os 0.000 0.500 0.000
Os 0.246 0.000 0.500
Os 0.250 0.250 0.000

total magnetization: 0.000 μB/cell
formation energy from the elements: 0.225 eV per atom

The following is a DFT calculation (GGA-PBE) of crystalline KCdPt3 at its relaxed geometry.

abc: 4.988 4.988 4.988
angles: 90.00 90.00 90.00
Space group Pm-3m (No. 221)
One atom of each set of equivalent atoms:
K 0.000 0.000 0.000
Cd 0.500 0.500 0.500
Pt 0.000 0.000 0.500

total magnetization: 0.000 μB/cell
formation energy from the elements: 1.795 eV per atom

The following is a DFT calculation (GGA-PBE) of crystalline KRb2TlBr6 at its relaxed geometry.

abc: 11.799 11.799 11.799
angles: 90.00 90.00 90.00
Space group Fm-3m (No. 225)
One atom of each set of equivalent atoms:
K 0.000 0.000 0.000
Rb 0.250 0.250 0.250
Tl 0.000 0.000 0.500
Br 0.000 0.000 0.265

total magnetization: 0.000 μB/cell
formation energy from raw total energies: -1.2098 eV per atom

The following is a DFT calculation (GGA-PBE) of crystalline Sr2Li9Ca at its relaxed geometry.

abc: 6.2352 6.2352 19.8624
angles: 90.00 90.00 120.00
Space group P6_3/mmc (No. 194)
One atom of each set of equivalent atoms:
Sr 0.3333 0.6667 0.0434
Li 0.0000 0.0000 0.0000
Li 0.0000 0.0000 0.2500
Li 0.1671 0.3341 0.6323
Li 0.3333 0.6667 0.7500
Ca 0.3333 0.6667 0.2500

total magnetization: 0.000 μB/cell
formation energy from the elements: 0.013 eV per atom

The following is a DFT calculation (GGA-PBE) of crystalline KErReO6 at its relaxed geometry.

abc: 5.716 9.998 5.637
angles: 90.00 92.80 90.00
Space group C2 (No. 5)
One atom of each set of equivalent atoms:
K 0.000 0.000 0.000
Er 0.000 0.318 0.500
Re 0.000 0.679 0.500
O 0.095 0.515 0.336
O 0.157 0.786 0.295
O 0.225 0.187 0.301

total magnetization: 2.100 μB/cell
formation energy from raw total energies: -2.0091 eV per atom

The following is a DFT calculation (GGA-PBE) of crystalline CaTaPbS2 at its relaxed geometry.

abc: 4.765 4.765 6.290
angles: 90.00 90.00 90.00
Space group P4/mmm (No. 123)
One atom of each set of equivalent atoms:
Ca 0.000 0.000 0.000
Ta 0.000 0.000 0.500
Pb 0.500 0.500 0.000
S 0.000 0.500 0.500

total magnetization: 0.001 μB/cell
formation energy from raw total energies: -0.0890 eV per atom